## V2CrTeO (PBE with a Hubbard U)

Data for a geometry-optimized V2CrTeO structure.

Properties
Total magnetic moment = 7.99 μB/f.u.
E = -4.433 eV/atom

Cell lengths 5.2380, 5.2380, 5.1017 Å; angles 90.00, 90.00, 90.00 degrees
Fractional positions:
V: 0.0000 0.5000 0.0000
V: 0.5000 0.0000 0.0000
Cr: 0.0000 0.0000 0.5000
Te: 0.0000 0.0000 0.0000
O: 0.5000 0.5000 0.5000